The following is a PBE-GGA calculation of AgPbBr2 after structural relaxation, from the Alexandria database.

Unit cell a=3.6577 b=5.8927 c=5.7790 alpha=90.00 beta=98.84 gamma=90.00
Space group Pm (No. 6)
Symmetry-distinct sites (fractional):
Ag 0.0000 0.0000 0.0000 [1 per cell]
Pb 0.7423 0.5000 0.4840 [1 per cell]
Br 0.0219 0.5000 0.9932 [1 per cell]
Br 0.9488 0.0000 0.4928 [1 per cell]

Output
**Crystal system**: monoclinic
**E above lowest polymorph**: 59 meV/atom
**Uncorrected formation energy**: -0.289 eV per atom

The following is a PBE-GGA calculation of Ag2PbBr after structural relaxation, from the Alexandria database.

Unit cell a=3.7502 b=3.7502 c=24.3787 alpha=90.00 beta=90.00 gamma=120.00
Space group R-3m (No. 166, hexagonal axes)
Symmetry-distinct sites (fractional):
Ag 0.0000 0.0000 0.2473 [6 per cell]
Pb 0.0000 0.0000 0.0000 [3 per cell]
Br 0.0000 0.0000 0.5000 [3 per cell]

Output
**Crystal system**: trigonal
**E above lowest polymorph**: 66 meV/atom
**Uncorrected formation energy**: -0.014 eV per atom

The following is a PBE-GGA calculation of Ag5Pb2Br12 after structural relaxation, from the Alexandria database.

Unit cell a=15.5645 b=7.9233 c=10.1805 alpha=90.00 beta=102.27 gamma=90.00
Space group C2/m (No. 12)
Symmetry-distinct sites (fractional):
Ag 0.0000 0.0000 0.0000 [2 per cell]
Ag 0.2422 0.5000 0.4927 [4 per cell]
Ag 0.2471 0.5000 0.9990 [4 per cell]
Pb 0.0000 0.2390 0.5000 [4 per cell]
Br 0.0424 0.0000 0.2759 [4 per cell]
Br 0.0458 0.5000 0.3247 [4 per cell]
Br 0.1357 0.2442 0.0014 [8 per cell]
Br 0.1950 0.2481 0.6432 [8 per cell]

Output
**Crystal system**: monoclinic
**Uncorrected formation energy**: -0.425 eV per atom

The following is a PBE-GGA calculation of Ag2Pb5Br12 after structural relaxation, from the Alexandria database.

Unit cell a=16.0014 b=8.4781 c=11.3225 alpha=90.00 beta=113.74 gamma=90.00
Space group C2/m (No. 12)
Symmetry-distinct sites (fractional):
Ag 0.0000 0.1778 0.0000 [4 per cell]
Pb 0.0000 0.5000 0.5000 [2 per cell]
Pb 0.1813 0.0000 0.3758 [4 per cell]
Pb 0.2484 0.0000 0.9990 [4 per cell]
Br 0.0171 0.0000 0.7987 [4 per cell]
Br 0.0750 0.5000 0.7993 [4 per cell]
Br 0.1414 0.2533 0.5221 [8 per cell]
Br 0.1783 0.2477 0.1329 [8 per cell]

Output
**Crystal system**: monoclinic
**E above lowest polymorph**: 8 meV/atom
**Uncorrected formation energy**: -0.747 eV per atom